No. 1
Density functional theory data (PBE-GGA) for a relaxed LuInNiRh crystal.

Values from the calculation:
VASP energy ... -90.9 eV/cell
Fermi-level density of states ... 0.589 states/eV per atom

```
data_LuInNiRh
_cell_length_a 6.523
_cell_length_b 6.523
_cell_length_c 6.523
_cell_angle_alpha 90.00
_cell_angle_beta 90.00
_cell_angle_gamma 90.00
_symmetry_space_group_name_H-M 'F -4 3 m'
_symmetry_Int_Tables_number 216
_symmetry_space_group_name_Hall 'F -4 2 3'
loop_
_atom_site_label
_atom_site_fract_x
_atom_site_fract_y
_atom_site_fract_z
Lu1 0.000 0.000 0.000
In1 0.000 0.000 0.500
Ni1 0.250 0.250 0.750
Rh1 0.250 0.250 0.250
```

***

No. 2
Density functional theory data (PBE-GGA) for a relaxed LuInNiRu crystal.

Values from the calculation:
VASP energy ... -94.6 eV/cell
Fermi-level density of states ... 0.414 states/eV per atom

```
data_LuInNiRu
_cell_length_a 6.501
_cell_length_b 6.501
_cell_length_c 6.501
_cell_angle_alpha 90.00
_cell_angle_beta 90.00
_cell_angle_gamma 90.00
_symmetry_space_group_name_H-M 'F -4 3 m'
_symmetry_Int_Tables_number 216
_symmetry_space_group_name_Hall 'F -4 2 3'
loop_
_atom_site_label
_atom_site_fract_x
_atom_site_fract_y
_atom_site_fract_z
Lu1 0.000 0.000 0.000
In1 0.000 0.000 0.500
Ni1 0.250 0.250 0.250
Ru1 0.250 0.250 0.750
```

***

No. 3
Density functional theory data (PBE-GGA) for a relaxed TbLuInNi crystal.

Values from the calculation:
VASP energy ... -75.8 eV/cell
Fermi-level density of states ... 0.968 states/eV per atom

```
data_TbLuInNi
_cell_length_a 7.142
_cell_length_b 7.142
_cell_length_c 7.142
_cell_angle_alpha 90.00
_cell_angle_beta 90.00
_cell_angle_gamma 90.00
_symmetry_space_group_name_H-M 'F -4 3 m'
_symmetry_Int_Tables_number 216
_symmetry_space_group_name_Hall 'F -4 2 3'
loop_
_atom_site_label
_atom_site_fract_x
_atom_site_fract_y
_atom_site_fract_z
Tb1 0.000 0.000 0.000
Lu1 0.000 0.000 0.500
In1 0.250 0.250 0.250
Ni1 0.250 0.250 0.750
```

***

No. 4
Density functional theory data (PBE-GGA) for a relaxed LuZnInNi crystal.

Values from the calculation:
VASP energy ... -62.7 eV/cell
Fermi-level density of states ... 0.585 states/eV per atom

```
data_LuZnInNi
_cell_length_a 6.579
_cell_length_b 6.579
_cell_length_c 6.579
_cell_angle_alpha 90.00
_cell_angle_beta 90.00
_cell_angle_gamma 90.00
_symmetry_space_group_name_H-M 'F -4 3 m'
_symmetry_Int_Tables_number 216
_symmetry_space_group_name_Hall 'F -4 2 3'
loop_
_atom_site_label
_atom_site_fract_x
_atom_site_fract_y
_atom_site_fract_z
Lu1 0.000 0.000 0.000
Zn1 0.250 0.250 0.250
In1 0.000 0.000 0.500
Ni1 0.250 0.250 0.750
```

***

No. 5
Density functional theory data (PBE-GGA) for a relaxed Lu2NpIn crystal.

Values from the calculation:
VASP energy ... -24.6 eV/cell
Fermi-level density of states ... 2.384 states/eV per atom

```
data_Lu2NpIn
_cell_length_a 3.342
_cell_length_b 3.342
_cell_length_c 9.238
_cell_angle_alpha 90.00
_cell_angle_beta 90.00
_cell_angle_gamma 90.00
_symmetry_space_group_name_H-M 'P 4/m m m'
_symmetry_Int_Tables_number 123
_symmetry_space_group_name_Hall '-P 4 2'
loop_
_atom_site_label
_atom_site_fract_x
_atom_site_fract_y
_atom_site_fract_z
Lu1 0.000 0.000 0.242
Np1 0.500 0.500 0.500
In1 0.500 0.500 0.000
```

***

No. 6
Density functional theory data (PBE-GGA) for a relaxed LuNpIn2 crystal.

Values from the calculation:
Energy above the lowest structure with this stoichiometry ... 82.1 meV per atom
Fermi-level density of states ... 1.963 states/eV per atom

```
data_LuNpIn2
_cell_length_a 4.865
_cell_length_b 4.865
_cell_length_c 4.376
_cell_angle_alpha 90.00
_cell_angle_beta 90.00
_cell_angle_gamma 90.00
_symmetry_space_group_name_H-M 'P 4/m m m'
_symmetry_Int_Tables_number 123
_symmetry_space_group_name_Hall '-P 4 2'
loop_
_atom_site_label
_atom_site_fract_x
_atom_site_fract_y
_atom_site_fract_z
Lu1 0.000 0.000 0.000
Np1 0.500 0.500 0.000
In1 0.000 0.500 0.500
```

***

No. 7
Density functional theory data (PBE-GGA) for a relaxed LuNpIn2 crystal.

Values from the calculation:
Energy above the lowest structure with this stoichiometry ... 0.0 meV per atom
Fermi-level density of states ... 1.593 states/eV per atom

```
data_LuNpIn2
_cell_length_a 3.217
_cell_length_b 3.217
_cell_length_c 9.571
_cell_angle_alpha 90.00
_cell_angle_beta 90.00
_cell_angle_gamma 90.00
_symmetry_space_group_name_H-M 'P 4/m m m'
_symmetry_Int_Tables_number 123
_symmetry_space_group_name_Hall '-P 4 2'
loop_
_atom_site_label
_atom_site_fract_x
_atom_site_fract_y
_atom_site_fract_z
Lu1 0.000 0.000 0.000
Np1 0.000 0.000 0.500
In1 0.500 0.500 0.243
```

***

No. 8
Density functional theory data (PBE-GGA) for a relaxed Lu2InO crystal.

Values from the calculation:
Energy above the lowest structure with this stoichiometry ... 548.5 meV per atom
Fermi-level density of states ... 0.610 states/eV per atom
Energy relative to the elements, uncorrected ... -1.03 eV per atom

```
data_Lu2InO
_cell_length_a 3.058
_cell_length_b 3.058
_cell_length_c 7.829
_cell_angle_alpha 90.00
_cell_angle_beta 90.00
_cell_angle_gamma 90.00
_symmetry_space_group_name_H-M 'P 4/m m m'
_symmetry_Int_Tables_number 123
_symmetry_space_group_name_Hall '-P 4 2'
loop_
_atom_site_label
_atom_site_fract_x
_atom_site_fract_y
_atom_site_fract_z
Lu1 0.000 0.000 0.197
In1 0.500 0.500 0.500
O1 0.500 0.500 0.000
```

***

No. 9
Density functional theory data (PBE-GGA) for a relaxed Lu2InO crystal.

Values from the calculation:
Energy above the lowest structure with this stoichiometry ... 0.0 meV per atom
Fermi-level density of states ... 0.424 states/eV per atom
Energy relative to the elements, uncorrected ... -1.58 eV per atom

```
data_Lu2InO
_cell_length_a 3.4430
_cell_length_b 3.4430
_cell_length_c 22.6319
_cell_angle_alpha 90.00
_cell_angle_beta 90.00
_cell_angle_gamma 120.00
_symmetry_space_group_name_H-M 'R -3 m'
_symmetry_Int_Tables_number 166
_symmetry_space_group_name_Hall '-R 3 2"'
loop_
_atom_site_label
_atom_site_fract_x
_atom_site_fract_y
_atom_site_fract_z
Lu1 0.0000 0.0000 0.2238
In1 0.0000 0.0000 0.0000
O1 0.0000 0.0000 0.5000
```

***

No. 10
Density functional theory data (PBE-GGA) for a relaxed LuInO2 crystal.

Values from the calculation:
Fermi-level density of states ... 0.362 states/eV per atom
Energy relative to the elements, uncorrected ... -1.69 eV per atom

```
data_LuInO2
_cell_length_a 3.4798
_cell_length_b 3.4798
_cell_length_c 19.2183
_cell_angle_alpha 90.00
_cell_angle_beta 90.00
_cell_angle_gamma 120.00
_symmetry_space_group_name_H-M 'R -3 m'
_symmetry_Int_Tables_number 166
_symmetry_space_group_name_Hall '-R 3 2"'
loop_
_atom_site_label
_atom_site_fract_x
_atom_site_fract_y
_atom_site_fract_z
Lu1 0.0000 0.0000 0.0000
In1 0.0000 0.0000 0.5000
O1 0.0000 0.0000 0.1117
```

***

No. 11
Density functional theory data (PBE-GGA) for a relaxed Lu3In5O12 crystal.

Values from the calculation:
Fermi-level density of states ... 0.000 states/eV per atom
Energy relative to the elements, uncorrected ... -2.22 eV per atom

```
data_Lu3In5O12
_cell_length_a 12.992
_cell_length_b 12.992
_cell_length_c 12.992
_cell_angle_alpha 90.00
_cell_angle_beta 90.00
_cell_angle_gamma 90.00
_symmetry_space_group_name_H-M 'I a -3 d'
_symmetry_Int_Tables_number 230
_symmetry_space_group_name_Hall '-I 4bd 2c 3'
loop_
_atom_site_label
_atom_site_fract_x
_atom_site_fract_y
_atom_site_fract_z
Lu1 0.000 0.250 0.125
In1 0.000 0.000 0.000
In2 0.000 0.250 0.375
O1 0.019 0.066 0.654
```

***

No. 12
Density functional theory data (PBE-GGA) for a relaxed Lu2InOs crystal.

Values from the calculation:
Energy above the lowest structure with this stoichiometry ... 309.1 meV per atom
Fermi-level density of states ... 0.422 states/eV per atom

```
data_Lu2InOs
_cell_length_a 3.3981
_cell_length_b 3.3981
_cell_length_c 27.8191
_cell_angle_alpha 90.00
_cell_angle_beta 90.00
_cell_angle_gamma 120.00
_symmetry_space_group_name_H-M 'R -3 m'
_symmetry_Int_Tables_number 166
_symmetry_space_group_name_Hall '-R 3 2"'
loop_
_atom_site_label
_atom_site_fract_x
_atom_site_fract_y
_atom_site_fract_z
Lu1 0.0000 0.0000 0.2380
In1 0.0000 0.0000 0.0000
Os1 0.0000 0.0000 0.5000
```

***

No. 13
Density functional theory data (PBE-GGA) for a relaxed Lu2InOs crystal.

Values from the calculation:
Energy above the lowest structure with this stoichiometry ... 0.0 meV per atom
Fermi-level density of states ... 0.484 states/eV per atom

```
data_Lu2InOs
_cell_length_a 3.323
_cell_length_b 3.323
_cell_length_c 8.134
_cell_angle_alpha 90.00
_cell_angle_beta 90.00
_cell_angle_gamma 90.00
_symmetry_space_group_name_H-M 'P 4/m m m'
_symmetry_Int_Tables_number 123
_symmetry_space_group_name_Hall '-P 4 2'
loop_
_atom_site_label
_atom_site_fract_x
_atom_site_fract_y
_atom_site_fract_z
Lu1 0.000 0.000 0.201
In1 0.500 0.500 0.500
Os1 0.500 0.500 0.000
```